Entry 1:
! SbAu2Br PBE optimized geometry; values from VASP
! - space-group type = I-42d (122)
! - uncorrected energy (eV per atom) = -3.031
! - relative energy among the computed polymorphs (eV per formula unit) = 0.459
! - crystal system = tetragonal
&SYSTEM
  ibrav = 0, nat = 8, ntyp = 3
/
ATOMIC_SPECIES
Au 196.97 Au.upf
Br 79.90 Br.upf
Sb 121.76 Sb.upf
CELL_PARAMETERS angstrom
-0.814 5.408 -3.871
-4.138 2.641 4.560
1.809 6.448 2.830
ATOMIC_POSITIONS crystal
Au 0.375 0.349 0.750
Au 0.875 0.901 0.750
Au 0.651 0.125 0.250
Au 0.099 0.625 0.250
Br 0.500 0.500 0.000
Br 0.250 0.750 0.500
Sb 0.000 0.000 0.000
Sb 0.750 0.250 0.500

Entry 2:
! SbAu2Br PBE optimized geometry; values from VASP
! - space-group type = Cmmm (65)
! - uncorrected energy (eV per atom) = -2.963
! - relative energy among the computed polymorphs (eV per formula unit) = 0.729
! - crystal system = orthorhombic
&SYSTEM
  ibrav = 0, nat = 4, ntyp = 3
/
ATOMIC_SPECIES
Au 196.97 Au.upf
Sb 121.76 Sb.upf
Br 79.90 Br.upf
CELL_PARAMETERS angstrom
3.747 -0.052 0.000
-1.772 3.302 0.000
0.000 0.000 8.157
ATOMIC_POSITIONS crystal
Au 0.000 0.000 0.994
Au 0.000 0.000 0.506
Sb 0.500 0.500 0.750
Br 0.500 0.500 0.250

Entry 3:
! SbAu2Br PBE optimized geometry; values from VASP
! - space-group type = Cm (8)
! - uncorrected energy (eV per atom) = -3.145
! - relative energy among the computed polymorphs (eV per formula unit) = 0.000
! - crystal system = monoclinic
&SYSTEM
  ibrav = 0, nat = 4, ntyp = 3
/
ATOMIC_SPECIES
Sb 121.76 Sb.upf
Au 196.97 Au.upf
Br 79.90 Br.upf
CELL_PARAMETERS angstrom
-4.637 1.492 0.520
-3.198 -0.397 3.690
1.137 5.724 2.895
ATOMIC_POSITIONS crystal
Sb 0.757 0.757 0.853
Au 0.032 0.032 0.994
Au 0.306 0.306 0.149
Br 0.405 0.405 0.504

Entry 4:
! SbAuBr2 PBE optimized geometry; values from VASP
! - space-group type = P4mm (99)
! - uncorrected energy (eV per atom) = -2.704
! - relative energy among the computed polymorphs (eV per formula unit) = 1.181
! - crystal system = tetragonal
&SYSTEM
  ibrav = 0, nat = 4, ntyp = 3
/
ATOMIC_SPECIES
Br 79.90 Br.upf
Au 196.97 Au.upf
Sb 121.76 Sb.upf
CELL_PARAMETERS angstrom
-1.400 2.194 -2.513
-3.205 -1.642 0.351
-2.223 5.659 6.179
ATOMIC_POSITIONS crystal
Br 0.000 0.000 0.910
Br 0.500 0.500 0.319
Au 0.500 0.500 0.720
Sb 0.000 0.000 0.551

Number 1: spin magnetization 0.000 μB per atom. Number 2: spin magnetization 0.000 μB per atom. Number 3: spin magnetization 0.000 μB per atom. Number 4: spin magnetization 0.000 μB per atom.